Record 1
DFT (meta-GGA SCAN) results for a PBEsol-optimized structure of TiAlFe2Te.

a b c (Å): 4.3261 4.3261 5.1757
angles (deg): 90.00 90.00 90.00
Last column: nearest neighbours and their distance in Å.
Atoms (fractional coordinates):
Al 0.0000 0.0000 0.0000  4 Fe 2.16
Te 0.0000 0.0000 0.5000  2 Al 2.59
Fe 0.0000 0.5000 0.0000  2 Al 2.16
Fe 0.5000 0.0000 0.0000  2 Al 2.16
Ti 0.5000 0.5000 0.5000  4 Te 3.06, 8 Fe 3.37

Summary:
* energy: -18.55 eV/atom
* Fermi-level density of states: 3.6 states/eV/cell
* SG: No. 123
* crystal system: tetragonal

Record 2
DFT (meta-GGA SCAN) results for a PBEsol-optimized structure of TiTlBi2Ru.

a b c (Å): 5.0579 5.5718 5.5718
angles (deg): 90.00 90.00 90.00
Last column: nearest neighbours and their distance in Å.
Atoms (fractional coordinates):
Ru 0.5000 0.5000 0.5000  8 Bi 3.76, 4 Ti 3.94
Tl 0.0000 0.0000 0.0000  2 Ti 2.53, 4 Bi 2.79
Bi 0.0000 0.0000 0.5000  2 Tl 2.79
Bi 0.0000 0.5000 0.0000  2 Tl 2.79
Ti 0.5000 0.0000 0.0000  2 Tl 2.53

Summary:
* DFT formation energy: 1687 meV per atom
* energy: -54.39 eV/atom
* Fermi-level density of states: 3.5 states/eV/cell
* SG: No. 123
* crystal system: tetragonal

Record 3
DFT (meta-GGA SCAN) results for a PBEsol-optimized structure of SeN2Cl.

a b c (Å): 3.5249 3.5249 6.5827
angles (deg): 74.47 74.47 60.00
Last column: nearest neighbours and their distance in Å.
Atoms (fractional coordinates):
N 0.9069 0.9069 0.2792  1 Se 1.75
N 0.0931 0.0931 0.7208  1 Se 1.75
Se 0.0000 0.0000 0.0000  2 N 1.75
Cl 0.5000 0.5000 0.5000  6 N 2.46

Summary:
* energy above the most stable polymorph in this dataset: 0.0000 eV/atom
* energy: -9.65 eV/atom
* Fermi-level density of states: 2.5 states/eV/cell
* SG: No. 166
* crystal system: trigonal

Record 4
DFT (meta-GGA SCAN) results for a PBEsol-optimized structure of RbIrSe2O.

a b c (Å): 3.5581 5.6780 5.6780
angles (deg): 90.00 90.00 90.00
Last column: nearest neighbours and their distance in Å.
Atoms (fractional coordinates):
O 0.0000 0.0000 0.0000  2 Ir 1.78
Ir 0.5000 0.0000 0.0000  2 O 1.78
Se 0.0000 0.0000 0.5000  2 O 2.84
Se 0.0000 0.5000 0.0000  2 O 2.84
Rb 0.5000 0.5000 0.5000  8 Se 3.35, 2 Rb 3.56

Summary:
* energy: -27.41 eV/atom
* Fermi-level density of states: 2.9 states/eV/cell
* SG: No. 123
* crystal system: tetragonal